An optimized crystal structure of CaNiC2Se. Source: the Alexandria database, functional PBE.

Cell and atoms, written as POSCAR:
```
CaNiC2Se
1.0
4.357 0.000 0.000
0.000 4.357 0.000
0.000 0.000 5.350
Ca Ni C Se
1 1 2 1
direct
0.000 0.000 0.000 Ca
0.500 0.500 0.500 Ni
0.000 0.500 0.000 C
0.500 0.000 0.000 C
0.000 0.000 0.500 Se
```

VASP energy = -3.324 eV per atom
Fermi-level density of states = 4.6 states/eV per cell
space group = P4/mmm

---

An optimized crystal structure of CaNiSn2C. Source: the Alexandria database, functional PBE.

Cell and atoms, written as POSCAR:
```
CaNiSn2C
1.0
5.703 0.000 0.000
0.000 5.703 0.000
0.000 0.000 4.174
Ca Ni Sn C
1 1 2 1
direct
0.000 0.000 0.000 Ca
0.500 0.500 0.500 Ni
0.000 0.500 0.000 Sn
0.500 0.000 0.000 Sn
0.000 0.000 0.500 C
```

VASP energy = -3.125 eV per atom
Fermi-level density of states = 4.4 states/eV per cell
space group = P4/mmm
calculated formation energy = 1878 meV per atom

---

An optimized crystal structure of Ca2TlNiC. Source: the Alexandria database, functional PBE.

Cell and atoms, written as POSCAR:
```
Ca2TlNiC
1.0
5.238 0.000 0.000
0.000 5.238 0.000
0.000 0.000 3.714
Ca Tl Ni C
2 1 1 1
direct
0.000 0.500 0.000 Ca
0.500 0.000 0.000 Ca
0.000 0.000 0.500 Tl
0.500 0.500 0.500 Ni
0.500 0.500 0.000 C
```

VASP energy = -4.377 eV per atom
Fermi-level density of states = 2.6 states/eV per cell
space group = P4/mmm
calculated formation energy = -102 meV per atom
relative energy among the computed polymorphs = 0.0 meV per atom